1.
Density functional theory data (PBE) for a relaxed structure of GaSiSn3.

Calculated values
ρ (g/cm3): 5.16
Formation energy without anion corrections (eV/atom): 0.725
Relative energy among the computed polymorphs (meV/atom): 223
Raw total energy (eV/f.u.): -16.8

Unit cell a=5.2673 b=5.2673 c=5.2673 alpha=90.00 beta=90.00 gamma=90.00
Space group Pm-3m (No. 221)
One atom of each set of equivalent atoms:
Ga1 0.0000 0.0000 0.0000 [1 per cell]
Si1 0.5000 0.5000 0.5000 [1 per cell]
Sn1 0.0000 0.0000 0.5000 [3 per cell]


2.
Density functional theory data (PBE) for a relaxed structure of Li2Pr3Ga.

Calculated values
ρ (g/cm3): 5.19
ΔH_f (0 K) (eV/atom): -0.15
Raw total energy (eV/f.u.): -22.1

Unit cell a=5.3448 b=5.3448 c=13.0997 alpha=90.00 beta=90.00 gamma=120.00
Space group P-3m1 (No. 164)
One atom of each set of equivalent atoms:
Li1 0.0000 0.0000 0.0000 [1 per cell]
Li2 0.0000 0.0000 0.5000 [1 per cell]
Li3 0.3333 0.6667 0.1670 [2 per cell]
Pr1 0.0000 0.0000 0.2565 [2 per cell]
Pr2 0.3333 0.6667 0.4177 [2 per cell]
Pr3 0.3333 0.6667 0.9099 [2 per cell]
Ga1 0.3333 0.6667 0.6653 [2 per cell]


3.
Density functional theory data (PBE) for a relaxed structure of K3Th2Te6Pb.

Calculated values
ρ (g/cm3): 5.62
Formation energy without anion corrections (eV/atom): -1.071
Raw total energy (eV/f.u.): -53.5

Unit cell a=8.0259 b=13.8766 c=8.6748 alpha=90.00 beta=107.95 gamma=90.00
Space group C2/m (No. 12)
One atom of each set of equivalent atoms:
K1 0.0000 0.0000 0.0000 [2 per cell]
K2 0.0000 0.3369 0.0000 [4 per cell]
Th1 0.0000 0.1665 0.5000 [4 per cell]
Te1 0.2289 0.0000 0.7162 [4 per cell]
Te2 0.2442 0.3281 0.7161 [8 per cell]
Pb1 0.0000 0.5000 0.5000 [2 per cell]